{"formula": "Nd4Te2N", "functional": "PBE-GGA", "state": "relaxed", "total_magnetization_mub_per_cell": 1.18, "raw_formation_energy_ev_per_atom": -1.069, "sg": "C2/m, No. 12", "lattice": [[-1.125, -3.012, -2.357], [-1.792, -3.803, 5.716], [-5.182, 6.079, -1.924]], "species": ["Te", "Nd", "Nd", "Te", "Nd", "Nd", "N"], "frac_coords": [[0.260, 0.269, 0.520], [0.102, 0.810, 0.203], [0.898, 0.190, 0.797], [0.740, 0.731, 0.480], [0.596, 0.241, 0.193], [0.404, 0.759, 0.807], [0.000, 0.000, 0.000]]}